Material: Zr9Mo4S
Method: DFT, GGA-PBEsol
State: optimized geometry

Structure (POSCAR):
```
Zr9Mo4S
1.0
8.559 0.000 0.000
0.000 8.592 0.000
0.000 -4.296 7.441
S Zr Mo
2 18 8
direct
0.750 0.667 0.333 S
0.250 0.333 0.667 S
0.452 0.199 0.397 Zr
0.250 0.925 0.463 Zr
0.250 0.537 0.463 Zr
0.452 0.199 0.801 Zr
0.548 0.397 0.199 Zr
0.048 0.603 0.801 Zr
0.548 0.801 0.199 Zr
0.750 0.075 0.537 Zr
0.250 0.537 0.075 Zr
0.750 0.463 0.925 Zr
0.048 0.199 0.397 Zr
0.452 0.603 0.801 Zr
0.548 0.801 0.603 Zr
0.952 0.397 0.199 Zr
0.952 0.801 0.199 Zr
0.750 0.463 0.537 Zr
0.952 0.801 0.603 Zr
0.048 0.199 0.801 Zr
0.500 0.000 0.000 Mo
0.250 0.891 0.109 Mo
0.750 0.109 0.217 Mo
0.750 0.109 0.891 Mo
0.250 0.891 0.783 Mo
0.000 0.000 0.000 Mo
0.750 0.783 0.891 Mo
0.250 0.217 0.109 Mo
```

Summary:
The calculation puts the total energy at -9.81 eV per atom.

Material: SbMo3
Method: DFT, GGA-PBEsol
State: optimized geometry

Structure (POSCAR):
```
SbMo3
1.0
3.035 0.000 0.000
0.000 4.139 0.000
0.000 0.000 5.343
Mo Sb
3 1
direct
0.500 0.500 0.723 Mo
0.500 0.500 0.277 Mo
0.000 0.000 0.500 Mo
0.000 0.000 0.000 Sb
```

Summary:
The calculation puts the total energy at -9.70 eV per atom.

What is the formula in the first record? Zr9Mo4S

Number 2 is which compound? SbMo3